1.
Compound: Cd2AgW
Source: the Alexandria database
Functional: PBE-GGA
Structure: relaxed

```
data_Cd2AgW
_symmetry_space_group_name_H-M 'P 1'
_symmetry_Int_Tables_number 1
_cell_length_a 5.8737
_cell_length_b 5.8737
_cell_length_c 5.8737
_cell_angle_alpha 151.95
_cell_angle_beta 127.45
_cell_angle_gamma 60.62
loop_
_symmetry_equiv_pos_as_xyz
'x,y,z'
loop_
_atom_site_label
_atom_site_fract_x
_atom_site_fract_y
_atom_site_fract_z
Ag1 0.7500 0.2500 0.5000
W1 0.2500 0.7500 0.5000
Cd1 0.9955 0.9955 0.0000
Cd2 0.5045 0.5045 0.0000
```

Output
Density, g/cm3: 11.43
Formation enthalpy at 0 K, eV per atom: 0.63
Energy above the lowest structure with this stoichiometry, meV/atom: 292



2.
Compound: CdAg2W
Source: the Alexandria database
Functional: PBE-GGA
Structure: relaxed

```
data_CdAg2W
_symmetry_space_group_name_H-M 'P 1'
_symmetry_Int_Tables_number 1
_cell_length_a 4.5904
_cell_length_b 2.7315
_cell_length_c 5.8762
_cell_angle_alpha 76.36
_cell_angle_beta 90.00
_cell_angle_gamma 90.00
loop_
_symmetry_equiv_pos_as_xyz
'x,y,z'
loop_
_atom_site_label
_atom_site_fract_x
_atom_site_fract_y
_atom_site_fract_z
Ag1 0.0000 0.1943 0.9821
Ag2 0.5000 0.0598 0.2564
W1 0.5000 0.8016 0.7723
Cd1 0.0000 0.4443 0.4892
```

Output
Density, g/cm3: 11.87
Formation enthalpy at 0 K, eV per atom: 0.58



3.
Compound: CdAg4W
Source: the Alexandria database
Functional: PBE-GGA
Structure: relaxed

```
data_CdAg4W
_symmetry_space_group_name_H-M 'P 1'
_symmetry_Int_Tables_number 1
_cell_length_a 5.4285
_cell_length_b 5.4285
_cell_length_c 5.4285
_cell_angle_alpha 60.00
_cell_angle_beta 60.00
_cell_angle_gamma 60.00
loop_
_symmetry_equiv_pos_as_xyz
'x,y,z'
loop_
_atom_site_label
_atom_site_fract_x
_atom_site_fract_y
_atom_site_fract_z
Cd1 0.7500 0.7500 0.7500
Ag1 0.8756 0.3748 0.3748
Ag2 0.3748 0.3748 0.8756
Ag3 0.3748 0.8756 0.3748
Ag4 0.3748 0.3748 0.3748
W1 0.0000 0.0000 0.0000
```

Output
Density, g/cm3: 10.68
Formation enthalpy at 0 K, eV per atom: 0.71



4.
Compound: CdAg2W
Source: the Alexandria database
Functional: PBE-GGA
Structure: relaxed

```
data_CdAg2W
_symmetry_space_group_name_H-M 'P 1'
_symmetry_Int_Tables_number 1
_cell_length_a 5.0412
_cell_length_b 5.0412
_cell_length_c 2.8299
_cell_angle_alpha 90.00
_cell_angle_beta 90.00
_cell_angle_gamma 90.00
loop_
_symmetry_equiv_pos_as_xyz
'x,y,z'
loop_
_atom_site_label
_atom_site_fract_x
_atom_site_fract_y
_atom_site_fract_z
Ag1 0.0000 0.0000 0.0000
Ag2 0.5000 0.5000 0.0000
W1 0.0000 0.5000 0.5000
Cd1 0.5000 0.0000 0.5000
```

Output
Density, g/cm3: 11.82
Formation enthalpy at 0 K, eV per atom: 0.66